No. 1
Below is a relaxed Pm2Ga2Co2C crystal, with properties calculated at the PBE level.

The value obtained for the energy is -84.7 eV per cell. The calculation puts the formation energy at -0.48 eV per atom. The total magnetization is 0.000 μB per formula unit.

Lattice parameters (Å, degrees): 10.977 4.071 7.057 90.00 128.94 90.00
Element x y z (fractional)
Pm  0.054  0.000  0.289
Pm  0.446  0.500  0.711
Pm  0.554  0.500  0.289
Pm  0.946  0.000  0.711
Ga  0.168  0.500  0.723
Ga  0.332  0.000  0.277
Ga  0.668  0.000  0.723
Ga  0.832  0.500  0.277
Co  0.191  0.500  0.088
Co  0.309  0.000  0.912
Co  0.691  0.000  0.088
Co  0.809  0.500  0.912
C  0.000  0.500  0.000
C  0.500  0.000  0.000


No. 2
Below is a relaxed CdTcP crystal, with properties calculated at the PBE level.

The value obtained for the energy is -64.4 eV per cell. The calculation puts the offset from the most stable computed form at 405.0 meV per atom. The calculation puts the formation energy at 0.20 eV per atom. The total magnetization is 0.000 μB per formula unit.

Lattice parameters (Å, degrees): 3.218 4.890 13.696 90.00 90.00 90.00
Element x y z (fractional)
Cd  0.000  0.000  0.000
Cd  0.000  0.500  0.500
Cd  0.500  0.000  0.500
Cd  0.500  0.500  0.000
Tc  0.000  0.000  0.675
Tc  0.000  0.500  0.175
Tc  0.500  0.000  0.175
Tc  0.500  0.500  0.675
P  0.000  0.000  0.292
P  0.000  0.500  0.792
P  0.500  0.000  0.792
P  0.500  0.500  0.292